[1]
The following is a PBE calculation of a relaxed structure of AlAuSe2, from the Alexandria database.

Cell and atoms, written as CIF:
```
data_AlAuSe2
_chemical_formula_sum 'Al1 Au1 Se2'
_space_group_name_H-M_alt 'P 1'
_space_group_IT_number 1
_cell_length_a 3.750
_cell_length_b 3.750
_cell_length_c 7.134
_cell_angle_alpha 90.00
_cell_angle_beta 90.00
_cell_angle_gamma 120.00
loop_
_space_group_symop_operation_xyz
'x,y,z'
loop_
_atom_site_label
_atom_site_fract_x
_atom_site_fract_y
_atom_site_fract_z
Au1 0.333 0.667 0.458
Al1 0.000 0.000 0.991
Se1 0.333 0.667 0.805
Se2 0.667 0.333 0.202
```

- V (Å³/atom) = 21.72
- total DFT energy (no corrections) (eV/atom) = -3.908
- N(E_F) (states/eV/f.u.) = 0.000
- space group = P3m1 (156)
- uncorrected formation energy (eV/atom) = -0.4110

[2]
The following is a PBE calculation of a relaxed structure of AlAuSe2, from the Alexandria database.

Cell and atoms, written as CIF:
```
data_AlAuSe2
_chemical_formula_sum 'Al1 Au1 Se2'
_space_group_name_H-M_alt 'P 1'
_space_group_IT_number 1
_cell_length_a 3.710
_cell_length_b 7.421
_cell_length_c 3.638
_cell_angle_alpha 90.00
_cell_angle_beta 90.00
_cell_angle_gamma 90.00
loop_
_space_group_symop_operation_xyz
'x,y,z'
loop_
_atom_site_label
_atom_site_fract_x
_atom_site_fract_y
_atom_site_fract_z
Au1 0.000 0.500 0.500
Al1 0.500 0.000 0.500
Se1 0.000 0.000 0.000
Se2 0.500 0.500 0.000
```

- V (Å³/atom) = 25.04
- total DFT energy (no corrections) (eV/atom) = -3.524
- N(E_F) (states/eV/f.u.) = 2.040
- space group = Pmmm (47)
- uncorrected formation energy (eV/atom) = -0.0267

[3]
The following is a PBE calculation of a relaxed structure of AlAuSe2, from the Alexandria database.

Cell and atoms, written as CIF:
```
data_AlAuSe2
_chemical_formula_sum 'Al2 Au2 Se4'
_space_group_name_H-M_alt 'P 1'
_space_group_IT_number 1
_cell_length_a 12.050
_cell_length_b 12.050
_cell_length_c 4.034
_cell_angle_alpha 90.00
_cell_angle_beta 90.00
_cell_angle_gamma 162.54
loop_
_space_group_symop_operation_xyz
'x,y,z'
loop_
_atom_site_label
_atom_site_fract_x
_atom_site_fract_y
_atom_site_fract_z
Au1 0.038 0.962 0.250
Au2 0.962 0.038 0.750
Al1 0.317 0.683 0.250
Al2 0.683 0.317 0.750
Se1 0.209 0.791 0.250
Se2 0.791 0.209 0.750
Se3 0.896 0.104 0.250
Se4 0.104 0.896 0.750
```

- V (Å³/atom) = 21.97
- total DFT energy (no corrections) (eV/atom) = -3.735
- N(E_F) (states/eV/f.u.) = 0.399
- space group = Cmcm (63)
- uncorrected formation energy (eV/atom) = -0.2382

[4]
The following is a PBE calculation of a relaxed structure of AlAuSe2, from the Alexandria database.

Cell and atoms, written as CIF:
```
data_AlAuSe2
_chemical_formula_sum 'Al2 Au2 Se4'
_space_group_name_H-M_alt 'P 1'
_space_group_IT_number 1
_cell_length_a 3.813
_cell_length_b 6.543
_cell_length_c 8.673
_cell_angle_alpha 119.05
_cell_angle_beta 102.70
_cell_angle_gamma 90.00
loop_
_space_group_symop_operation_xyz
'x,y,z'
loop_
_atom_site_label
_atom_site_fract_x
_atom_site_fract_y
_atom_site_fract_z
Au1 0.961 0.462 0.394
Au2 0.961 0.962 0.394
Al1 0.961 0.962 0.894
Al2 0.461 0.462 0.894
Se1 0.890 0.172 0.708
Se2 0.346 0.672 0.708
Se3 0.576 0.252 0.080
Se4 0.032 0.752 0.080
```

- V (Å³/atom) = 22.88
- total DFT energy (no corrections) (eV/atom) = -4.012
- N(E_F) (states/eV/f.u.) = 0.000
- space group = C2/c (15)
- uncorrected formation energy (eV/atom) = -0.5147

[5]
The following is a PBE calculation of a relaxed structure of AlAuSe2, from the Alexandria database.

Cell and atoms, written as CIF:
```
data_AlAuSe2
_chemical_formula_sum 'Al2 Au2 Se4'
_space_group_name_H-M_alt 'P 1'
_space_group_IT_number 1
_cell_length_a 5.363
_cell_length_b 5.363
_cell_length_c 6.866
_cell_angle_alpha 67.01
_cell_angle_beta 67.01
_cell_angle_gamma 90.00
loop_
_space_group_symop_operation_xyz
'x,y,z'
loop_
_atom_site_label
_atom_site_fract_x
_atom_site_fract_y
_atom_site_fract_z
Au1 0.000 0.000 0.000
Au2 0.750 0.250 0.500
Al1 0.500 0.500 0.000
Al2 0.250 0.750 0.500
Se1 0.725 0.725 0.551
Se2 0.025 0.525 0.949
Se3 0.275 0.275 0.449
Se4 0.475 0.975 0.051
```

- V (Å³/atom) = 20.58
- total DFT energy (no corrections) (eV/atom) = -3.839
- N(E_F) (states/eV/f.u.) = 0.936
- space group = I4_1/amd (141)
- uncorrected formation energy (eV/atom) = -0.3414

[6]
The following is a PBE calculation of a relaxed structure of AlAuSe2, from the Alexandria database.

Cell and atoms, written as CIF:
```
data_AlAuSe2
_chemical_formula_sum 'Al4 Au4 Se8'
_space_group_name_H-M_alt 'P 1'
_space_group_IT_number 1
_cell_length_a 7.684
_cell_length_b 3.674
_cell_length_c 15.482
_cell_angle_alpha 90.00
_cell_angle_beta 90.00
_cell_angle_gamma 90.00
loop_
_space_group_symop_operation_xyz
'x,y,z'
loop_
_atom_site_label
_atom_site_fract_x
_atom_site_fract_y
_atom_site_fract_z
Au1 0.971 0.250 0.595
Au2 0.529 0.750 0.095
Au3 0.029 0.750 0.405
Au4 0.471 0.250 0.905
Al1 0.585 0.250 0.414
Al2 0.915 0.750 0.914
Al3 0.415 0.750 0.586
Al4 0.085 0.250 0.086
Se1 0.655 0.250 0.569
Se2 0.845 0.750 0.069
Se3 0.345 0.750 0.431
Se4 0.155 0.250 0.931
Se5 0.261 0.250 0.660
Se6 0.239 0.750 0.160
Se7 0.739 0.750 0.340
Se8 0.761 0.250 0.840
```

- V (Å³/atom) = 27.32
- total DFT energy (no corrections) (eV/atom) = -3.976
- N(E_F) (states/eV/f.u.) = 0.000
- space group = Pnma (62)
- uncorrected formation energy (eV/atom) = -0.4783